Compound: TmMoO4
Source: the Alexandria database
Functional: GGA+U
Structure: optimized geometry

a = 5.7856 Å, b = 4.9741 Å, c = 5.8451 Å
α = 90.00°, β = 111.52°, γ = 90.00°
Closest atoms and distances in Å follow each position.
Space group P2_1/c (No. 14)
Asymmetric unit:
Tm  0.0000  0.0000  0.0000 (multiplicity 2)  6 O 2.20-2.27
Mo  0.5000  0.0000  0.5000 (multiplicity 2)  6 O 1.93-2.06
O  0.1788  0.1704  0.3756 (multiplicity 4)  1 Mo 1.93
O  0.3685  0.7148  0.6767 (multiplicity 4)  2 Mo 2.06, 1 Tm 2.27

DFT total energy = -7.726 eV per atom